Record 1
Computed, not measured: an optimized crystal structure of Ca2PaCoN4 at the PBE-GGA level of DFT.

Output
Magnetization (μB per cell): 0.00
Total energy (eV/atom): -7.485
ΔE_f (raw) (eV per atom): -0.7463

Cell: 5.7769 5.7769 11.6089 Å, 90.00 90.00 146.34°
Closest atoms and distances in Å follow each position.
Element x y z (fractional)
1 Ca 0.1321 0.8679 0.5471  4 N 2.29-2.48
2 Ca 0.1321 0.8679 0.9529  4 N 2.29-2.48
3 Ca 0.8679 0.1321 0.0471  4 N 2.29-2.48
4 Ca 0.8679 0.1321 0.4529  4 N 2.29-2.48
5 Pa 0.4016 0.5984 0.7500  6 N 2.40-2.44
6 Pa 0.5984 0.4016 0.2500  6 N 2.40-2.44
7 Co 0.3358 0.6642 0.2500  4 N 1.83-2.02
8 Co 0.6642 0.3358 0.7500  4 N 1.83-2.02
9 N 0.0619 0.9381 0.7500  2 Co 2.02
10 N 0.2108 0.7892 0.1467  1 Co 1.83
11 N 0.2108 0.7892 0.3533  1 Co 1.83
12 N 0.5000 0.5000 0.0000  4 Ca 2.29
13 N 0.5000 0.5000 0.5000  4 Ca 2.29
14 N 0.7892 0.2108 0.6467  1 Co 1.83
15 N 0.7892 0.2108 0.8533  1 Co 1.83
16 N 0.9381 0.0619 0.2500  2 Co 2.02



Record 2
Computed, not measured: an optimized crystal structure of Ca4Pa3CoN8 at the PBE-GGA level of DFT.

Output
Magnetization (μB per cell): 2.00
Total energy (eV/atom): -8.099
ΔE_f (raw) (eV per atom): -1.2109

Cell: 6.9687 6.9687 6.9687 Å, 60.05 60.05 60.05°
Closest atoms and distances in Å follow each position.
Element x y z (fractional)
1 Ca 0.0000 0.0000 0.0000  6 N 2.46
2 Ca 0.0000 0.5000 0.5000  6 N 2.56-2.63
3 Ca 0.5000 0.0000 0.5000  6 N 2.56-2.63
4 Ca 0.5000 0.5000 0.0000  6 N 2.56-2.63
5 Pa 0.0000 0.0000 0.5000  6 N 2.31-2.38
6 Pa 0.0000 0.5000 0.0000  6 N 2.31-2.38
7 Pa 0.5000 0.0000 0.0000  6 N 2.31-2.38
8 Co 0.5000 0.5000 0.5000  6 N 2.49
9 N 0.2159 0.7512 0.7512  2 Pa 2.31, 1 Ca 2.46, 1 Co 2.49
10 N 0.2406 0.2406 0.2406  3 Pa 2.38, 3 Ca 2.56
11 N 0.2488 0.2488 0.7841  2 Pa 2.31, 1 Ca 2.46, 1 Co 2.49
12 N 0.2488 0.7841 0.2488  2 Pa 2.31, 1 Ca 2.46, 1 Co 2.49
13 N 0.7512 0.2159 0.7512  2 Pa 2.31, 1 Ca 2.46, 1 Co 2.49
14 N 0.7512 0.7512 0.2159  2 Pa 2.31, 1 Ca 2.46, 1 Co 2.49
15 N 0.7594 0.7594 0.7594  3 Pa 2.38, 3 Ca 2.56
16 N 0.7841 0.2488 0.2488  2 Pa 2.31, 1 Ca 2.46, 1 Co 2.49